Version A
First-principles (PBE) data for crystalline DyErCuHg at its relaxed geometry, as listed in Alexandria.

Calculated values
The value obtained for the density of states at the Fermi level is 3.814 states/eV/cell.

a = 5.082 Å, b = 5.082 Å, c = 5.082 Å
α = 60.00°, β = 60.00°, γ = 60.00°
Fractional positions:
Dy  0.000  0.000  0.000
Hg  0.250  0.250  0.250
Cu  0.750  0.750  0.750
Er  0.500  0.500  0.500



Version B
First-principles (PBE) data for crystalline DyErCuHg at its relaxed geometry, as listed in Alexandria.

Calculated values
The value obtained for the density of states at the Fermi level is 3.500 states/eV/cell.

a = 3.524 Å, b = 3.524 Å, c = 7.419 Å
α = 90.00°, β = 90.00°, γ = 90.00°
Fractional positions:
Dy  0.000  0.000  0.834
Er  0.000  0.000  0.381
Cu  0.500  0.500  0.602
Hg  0.500  0.500  0.111



Most stable: version B (next structure +2.4 kJ/mol of atoms)



Version A
First-principles (PBE) data for crystalline DyErCuNi at its relaxed geometry, as listed in Alexandria.

Calculated values
The value obtained for the density of states at the Fermi level is 2.553 states/eV/cell.

a = 3.674 Å, b = 4.386 Å, c = 5.397 Å
α = 90.00°, β = 109.90°, γ = 90.00°
Fractional positions:
Dy  0.140  0.000  0.279
Er  0.861  0.500  0.723
Cu  0.572  0.500  0.144
Ni  0.427  0.000  0.854



Version B
First-principles (PBE) data for crystalline DyErCuNi at its relaxed geometry, as listed in Alexandria.

Calculated values
The value obtained for the density of states at the Fermi level is 2.801 states/eV/cell.

a = 4.812 Å, b = 4.812 Å, c = 4.812 Å
α = 60.00°, β = 60.00°, γ = 60.00°
Fractional positions:
Ni  0.750  0.750  0.750
Dy  0.000  0.000  0.000
Cu  0.250  0.250  0.250
Er  0.500  0.500  0.500



Most stable: version A (next structure +3.5 kJ/mol of atoms)



Version A
First-principles (PBE) data for crystalline DyErCuPd at its relaxed geometry, as listed in Alexandria.

Calculated values
The value obtained for the density of states at the Fermi level is 2.308 states/eV/cell.

a = 3.703 Å, b = 4.539 Å, c = 5.510 Å
α = 90.00°, β = 109.63°, γ = 90.00°
Fractional positions:
Dy  0.139  0.000  0.278
Er  0.861  0.500  0.723
Cu  0.421  0.000  0.842
Pd  0.578  0.500  0.157



Version B
First-principles (PBE) data for crystalline DyErCuPd at its relaxed geometry, as listed in Alexandria.

Calculated values
The value obtained for the density of states at the Fermi level is 2.915 states/eV/cell.

a = 4.918 Å, b = 4.918 Å, c = 4.918 Å
α = 60.00°, β = 60.00°, γ = 60.00°
Fractional positions:
Dy  0.000  0.000  0.000
Cu  0.250  0.250  0.250
Pd  0.750  0.750  0.750
Er  0.500  0.500  0.500



Most stable: version A (next structure +3.0 kJ/mol of atoms)



Version A
First-principles (PBE) data for crystalline DyErCuPt at its relaxed geometry, as listed in Alexandria.

Calculated values
The value obtained for the density of states at the Fermi level is 2.575 states/eV/cell.

a = 4.901 Å, b = 4.901 Å, c = 4.901 Å
α = 60.00°, β = 60.00°, γ = 60.00°
Fractional positions:
Dy  0.250  0.250  0.250
Cu  0.500  0.500  0.500
Pt  0.000  0.000  0.000
Er  0.750  0.750  0.750



Version B
First-principles (PBE) data for crystalline DyErCuPt at its relaxed geometry, as listed in Alexandria.

Calculated values
The value obtained for the density of states at the Fermi level is 2.395 states/eV/cell.

a = 3.746 Å, b = 4.436 Å, c = 5.547 Å
α = 90.00°, β = 109.73°, γ = 90.00°
Fractional positions:
Dy  0.861  0.500  0.722
Er  0.139  0.000  0.277
Cu  0.421  0.000  0.842
Pt  0.579  0.500  0.159



Most stable: version B (next structure +3.2 kJ/mol of atoms)